[1]
A relaxed Ag3Sb crystal. Source: the Alexandria database, functional PBE.

Results
Calculated volume, Å³/atom: 19.95
Formation energy (no corrections), eV/atom: 0.038
Total moment, μB/atom: 0.000
Space-group type: No. 59

```
Ag3Sb
1.0
4.882 0.000 0.000
0.000 6.042 0.000
0.000 0.000 5.410
Ag Sb
6 2
direct
0.250 0.001 0.155 Ag
0.250 0.250 0.677 Ag
0.250 0.499 0.155 Ag
0.750 0.501 0.845 Ag
0.750 0.750 0.323 Ag
0.750 0.999 0.845 Ag
0.250 0.750 0.663 Sb
0.750 0.250 0.337 Sb
```

[2]
A relaxed AgSb3 crystal. Source: the Alexandria database, functional PBE.

Results
Calculated volume, Å³/atom: 27.12
Formation energy (no corrections), eV/atom: 0.160
Total moment, μB/atom: 0.000
Space-group type: No. 44
Polymorph energy (0 for the lowest one), kJ per mole of atoms: 6.3

```
AgSb3
1.0
3.161 0.000 0.000
0.000 11.627 0.000
0.000 0.000 5.905
Ag Sb
2 6
direct
0.000 0.000 0.000 Ag
0.500 0.500 0.500 Ag
0.000 0.314 0.270 Sb
0.000 0.500 0.930 Sb
0.000 0.686 0.270 Sb
0.500 0.000 0.430 Sb
0.500 0.186 0.770 Sb
0.500 0.814 0.770 Sb
```

[3]
A relaxed Ag3Sb crystal. Source: the Alexandria database, functional PBE.

Results
Calculated volume, Å³/atom: 20.22
Formation energy (no corrections), eV/atom: 0.084
Total moment, μB/atom: 0.000
Space-group type: No. 12

```
Ag3Sb
1.0
9.844 0.000 0.000
0.000 3.176 0.000
-0.859 0.000 5.174
Ag Sb
6 2
direct
0.000 0.000 0.000 Ag
0.247 0.500 0.240 Ag
0.253 0.000 0.760 Ag
0.500 0.500 0.000 Ag
0.747 0.000 0.240 Ag
0.753 0.500 0.760 Ag
0.000 0.500 0.500 Sb
0.500 0.000 0.500 Sb
```

[4]
A relaxed AgSb3 crystal. Source: the Alexandria database, functional PBE.

Results
Calculated volume, Å³/atom: 26.24
Formation energy (no corrections), eV/atom: 0.151
Total moment, μB/atom: 0.000
Space-group type: No. 25
Polymorph energy (0 for the lowest one), kJ per mole of atoms: 5.5

```
AgSb3
1.0
3.225 0.000 0.000
0.000 5.984 0.000
0.000 0.000 5.439
Ag Sb
1 3
direct
0.000 0.000 0.000 Ag
0.000 0.500 0.002 Sb
0.500 0.000 0.500 Sb
0.500 0.500 0.502 Sb
```

[5]
A relaxed Ag3Sb crystal. Source: the Alexandria database, functional PBE.

Results
Calculated volume, Å³/atom: 20.10
Formation energy (no corrections), eV/atom: 0.076
Total moment, μB/atom: 0.000
Space-group type: No. 47

```
Ag3Sb
1.0
3.252 0.000 0.000
0.000 4.103 0.000
0.000 0.000 6.027
Ag Sb
3 1
direct
0.000 0.000 0.000 Ag
0.500 0.500 0.238 Ag
0.500 0.500 0.762 Ag
0.000 0.000 0.500 Sb
```

[6]
A relaxed AgSb3 crystal. Source: the Alexandria database, functional PBE.

Results
Calculated volume, Å³/atom: 25.56
Formation energy (no corrections), eV/atom: 0.273
Total moment, μB/atom: 0.000
Space-group type: No. 194
Polymorph energy (0 for the lowest one), kJ per mole of atoms: 17.2

```
AgSb3
1.0
6.596 0.000 0.000
-3.298 5.713 0.000
0.000 0.000 10.852
Ag Sb
4 12
direct
0.000 0.000 0.000 Ag
0.000 0.000 0.500 Ag
0.333 0.667 0.250 Ag
0.667 0.333 0.750 Ag
0.000 0.500 0.000 Sb
0.000 0.500 0.500 Sb
0.159 0.318 0.750 Sb
0.159 0.841 0.750 Sb
0.318 0.159 0.250 Sb
0.500 0.000 0.000 Sb
0.500 0.000 0.500 Sb
0.500 0.500 0.000 Sb
0.500 0.500 0.500 Sb
0.682 0.841 0.750 Sb
0.841 0.159 0.250 Sb
0.841 0.682 0.250 Sb
```

[7]
A relaxed AgSb5 crystal. Source: the Alexandria database, functional PBE.

Results
Calculated volume, Å³/atom: 27.77
Formation energy (no corrections), eV/atom: 0.188
Total moment, μB/atom: 0.000
Space-group type: No. 65
Polymorph energy (0 for the lowest one), kJ per mole of atoms: 9.6

```
AgSb5
1.0
4.166 0.000 0.000
0.000 19.549 0.000
0.000 0.000 4.092
Ag Sb
2 10
direct
0.000 0.000 0.000 Ag
0.500 0.500 0.000 Ag
0.000 0.191 0.500 Sb
0.000 0.375 0.000 Sb
0.000 0.500 0.500 Sb
0.000 0.625 0.000 Sb
0.000 0.809 0.500 Sb
0.500 0.000 0.500 Sb
0.500 0.125 0.000 Sb
0.500 0.309 0.500 Sb
0.500 0.691 0.500 Sb
0.500 0.875 0.000 Sb
```

[8]
A relaxed Ag3Sb crystal. Source: the Alexandria database, functional PBE.

Results
Calculated volume, Å³/atom: 19.91
Formation energy (no corrections), eV/atom: 0.044
Total moment, μB/atom: 0.000
Space-group type: No. 194

```
Ag3Sb
1.0
6.100 0.000 0.000
-3.050 5.283 0.000
0.000 0.000 4.944
Ag Sb
6 2
direct
0.162 0.324 0.250 Ag
0.162 0.838 0.250 Ag
0.324 0.162 0.750 Ag
0.676 0.838 0.250 Ag
0.838 0.162 0.750 Ag
0.838 0.676 0.750 Ag
0.333 0.667 0.750 Sb
0.667 0.333 0.250 Sb
```

[9]
A relaxed Ag3Sb crystal. Source: the Alexandria database, functional PBE.

Results
Calculated volume, Å³/atom: 37.89
Formation energy (no corrections), eV/atom: 0.359
Total moment, μB/atom: 0.000
Space-group type: No. 221

```
Ag3Sb
1.0
5.332 0.000 0.000
0.000 5.332 0.000
0.000 0.000 5.332
Ag Sb
3 1
direct
0.000 0.000 0.500 Ag
0.000 0.500 0.000 Ag
0.500 0.000 0.000 Ag
0.000 0.000 0.000 Sb
```

[10]
A relaxed Ag3Sb2 crystal. Source: the Alexandria database, functional PBE.

Results
Calculated volume, Å³/atom: 22.31
Formation energy (no corrections), eV/atom: 0.160
Total moment, μB/atom: 0.000
Space-group type: No. 166
Polymorph energy (0 for the lowest one), kJ per mole of atoms: 2.1

```
Ag3Sb2
1.0
3.430 0.000 0.000
-1.715 2.970 0.000
0.000 0.000 32.851
Ag Sb
9 6
direct
0.000 0.000 0.000 Ag
0.000 0.000 0.198 Ag
0.000 0.000 0.802 Ag
0.333 0.667 0.468 Ag
0.333 0.667 0.667 Ag
0.333 0.667 0.865 Ag
0.667 0.333 0.135 Ag
0.667 0.333 0.333 Ag
0.667 0.333 0.532 Ag
0.000 0.000 0.401 Sb
0.000 0.000 0.599 Sb
0.333 0.667 0.068 Sb
0.333 0.667 0.266 Sb
0.667 0.333 0.734 Sb
0.667 0.333 0.932 Sb
```

[11]
A relaxed Ag3Sb crystal. Source: the Alexandria database, functional PBE.

Results
Calculated volume, Å³/atom: 20.57
Formation energy (no corrections), eV/atom: 0.141
Total moment, μB/atom: 0.000
Space-group type: No. 187

```
Ag3Sb
1.0
3.156 0.000 0.000
-1.578 2.733 0.000
0.000 0.000 9.536
Ag Sb
3 1
direct
0.000 0.000 0.000 Ag
0.333 0.667 0.236 Ag
0.333 0.667 0.764 Ag
0.000 0.000 0.500 Sb
```

[12]
A relaxed Ag3Sb crystal. Source: the Alexandria database, functional PBE.

Results
Calculated volume, Å³/atom: 19.87
Formation energy (no corrections), eV/atom: 0.038
Total moment, μB/atom: 0.000
Space-group type: No. 139

```
Ag3Sb
1.0
4.306 0.000 0.000
0.000 4.306 0.000
0.000 0.000 17.141
Ag Sb
12 4
direct
0.000 0.000 0.122 Ag
0.000 0.000 0.878 Ag
0.000 0.500 0.000 Ag
0.000 0.500 0.250 Ag
0.000 0.500 0.500 Ag
0.000 0.500 0.750 Ag
0.500 0.000 0.000 Ag
0.500 0.000 0.250 Ag
0.500 0.000 0.500 Ag
0.500 0.000 0.750 Ag
0.500 0.500 0.378 Ag
0.500 0.500 0.622 Ag
0.000 0.000 0.373 Sb
0.000 0.000 0.627 Sb
0.500 0.500 0.127 Sb
0.500 0.500 0.873 Sb
```

[13]
A relaxed AgSb3 crystal. Source: the Alexandria database, functional PBE.

Results
Calculated volume, Å³/atom: 25.49
Formation energy (no corrections), eV/atom: 0.194
Total moment, μB/atom: 0.000
Space-group type: No. 65
Polymorph energy (0 for the lowest one), kJ per mole of atoms: 9.6

```
AgSb3
1.0
4.374 0.000 0.000
0.000 4.550 0.000
0.000 0.000 10.249
Ag Sb
2 6
direct
0.000 0.000 0.000 Ag
0.500 0.500 0.000 Ag
0.000 0.000 0.500 Sb
0.000 0.500 0.216 Sb
0.000 0.500 0.784 Sb
0.500 0.000 0.216 Sb
0.500 0.000 0.784 Sb
0.500 0.500 0.500 Sb
```

[14]
A relaxed AgSb3 crystal. Source: the Alexandria database, functional PBE.

Results
Calculated volume, Å³/atom: 26.02
Formation energy (no corrections), eV/atom: 0.364
Total moment, μB/atom: 0.000
Space-group type: No. 223
Polymorph energy (0 for the lowest one), kJ per mole of atoms: 26.0

```
AgSb3
1.0
5.927 0.000 0.000
0.000 5.927 0.000
0.000 0.000 5.927
Ag Sb
2 6
direct
0.000 0.000 0.000 Ag
0.500 0.500 0.500 Ag
0.000 0.250 0.500 Sb
0.000 0.750 0.500 Sb
0.250 0.500 0.000 Sb
0.500 0.000 0.250 Sb
0.500 0.000 0.750 Sb
0.750 0.500 0.000 Sb
```